Computed, not measured: SrTl2Sb after structural relaxation at the PBE level of DFT.

POSCAR file:
```
SrTl2Sb
1.0
5.6781 0.0000 0.0000
2.8390 4.9174 0.0000
2.8390 1.6391 4.6361
Sr Tl Sb
1 2 1
direct
0.7500 0.7500 0.7500
0.2500 0.2500 0.2500
0.0000 0.0000 0.0000
0.5000 0.5000 0.5000
```

## Properties
Calculated density   7.930 g/cm3
Raw formation energy   -316 meV/atom
Crystal system   cubic